1.
The following is a DFT calculation (PBE) of a geometry-optimized Te5P2Pd12 structure.

```
Te5P2Pd12
1.0
7.0666 0.0000 0.0000
-3.5333 6.4526 0.1549
0.0000 -2.0486 8.3326
Te P Pd
5 2 12
direct
0.3560 0.7121 0.6007 Te
0.2899 0.5797 0.1909 Te
0.0000 0.0000 0.5000 Te
0.7101 0.4203 0.8091 Te
0.6440 0.2879 0.3993 Te
0.8087 0.0000 0.0000 P
0.1913 0.0000 0.0000 P
0.9152 0.8305 0.1637 Pd
0.1302 0.6572 0.9081 Pd
0.5269 0.6572 0.9081 Pd
0.0207 0.6418 0.3946 Pd
0.6212 0.6418 0.3946 Pd
0.5148 0.0297 0.8489 Pd
0.4852 0.9703 0.1511 Pd
0.9793 0.3582 0.6054 Pd
0.3788 0.3582 0.6054 Pd
0.8698 0.3428 0.0919 Pd
0.4731 0.3428 0.0919 Pd
0.0848 0.1695 0.8363 Pd
```



2.
The following is a DFT calculation (PBE) of a geometry-optimized TePPd2 structure.

```
TePPd2
1.0
3.7872 0.0000 0.0000
1.8936 3.2798 0.0000
1.8936 1.0933 5.9844
P Te Pd
1 1 2
direct
0.0000 0.0000 0.0000 P
0.5000 0.5000 0.5000 Te
0.2710 0.2710 0.1870 Pd
0.7290 0.7290 0.8130 Pd
```



3.
The following is a DFT calculation (PBE) of a geometry-optimized Te2PPd structure.

```
Te2PPd
1.0
0.9303 0.6358 8.0843
4.7527 0.4936 6.6178
2.6741 4.0234 6.5793
P Te Pd
1 2 1
direct
0.0000 0.0000 0.0000 P
0.8929 0.8929 0.8929 Te
0.1071 0.1071 0.1071 Te
0.5000 0.5000 0.5000 Pd
```



| no. | final energy (eV/cell) | mass density (g cm⁻³) |
| --- | --- | --- |
| 1 | -94.10 | 8.59 |
| 2 | -19.87 | 8.30 |
| 3 | -15.91 | 5.74 |